(1)
Density functional theory data (GGA-PBE) for Pt2BrCl after structural relaxation.

Lattice parameters (Å, degrees): 3.313 3.323 6.598 90.00 90.00 90.00
Sites, in units of the cell vectors:
Br: 0.500 0.500 0.250
Pt: 0.000 0.000 0.488
Pt: 0.000 0.000 0.012
Cl: 0.500 0.500 0.750

Output
- DOS(E_F): 3.55 states/eV/f.u.
- Size of the total moment: 0.0 μB per formula unit
- Polymorph energy (0 for the lowest one): 1.0575 eV per atom
- Energy relative to the elements, uncorrected: 0.840 eV/atom
- Final energy: -3.06 eV/atom
- Space-group type: No. 47

***

(2)
Density functional theory data (GGA-PBE) for PtBrCl3 after structural relaxation.

Lattice parameters (Å, degrees): 4.872 4.872 4.872 90.00 90.00 90.00
Sites, in units of the cell vectors:
Cl: 0.000 0.500 0.000
Cl: 0.500 0.000 0.000
Cl: 0.000 0.000 0.500
Pt: 0.000 0.000 0.000
Br: 0.500 0.500 0.500

Output
- DOS(E_F): 8.36 states/eV/f.u.
- Size of the total moment: 0.0 μB per formula unit
- Polymorph energy (0 for the lowest one): 0.4739 eV per atom
- Energy relative to the elements, uncorrected: 0.134 eV/atom
- Final energy: -2.52 eV/atom
- Space-group type: No. 221